No. 1
Y2ScTl6: relaxed, PBE.

Unit cell a=4.8459 b=9.3465 c=10.8032 alpha=90.00 beta=90.00 gamma=90.00
Atoms (fractional coordinates):
Y: 0.0000 0.3145 0.7850
Y: 0.5000 0.8145 0.7150
Y: 0.5000 0.1855 0.2850
Y: 0.0000 0.6855 0.2150
Sc: 0.5000 0.5000 0.0000
Sc: 0.0000 0.0000 0.5000
Tl: 0.0000 0.0121 0.1716
Tl: 0.0000 0.6688 0.5408
Tl: 0.0000 0.6492 0.8812
Tl: 0.5000 0.1492 0.6188
Tl: 0.5000 0.1688 0.9592
Tl: 0.5000 0.5121 0.3284
Tl: 0.0000 0.9879 0.8284
Tl: 0.0000 0.3312 0.4592
Tl: 0.0000 0.3508 0.1188
Tl: 0.5000 0.8508 0.3812
Tl: 0.5000 0.8312 0.0408
Tl: 0.5000 0.4879 0.6716

## Properties
For the calculated volume, the calculation gives 27.18 Å³ per atom. As for the energy of formation: -0.15 eV per atom.

No. 2
Tb7NiS5: relaxed, PBE.

Unit cell a=3.8533 b=6.7547 c=23.5667 alpha=90.00 beta=90.00 gamma=106.65
Atoms (fractional coordinates):
Tb: 0.4579 0.9153 0.2500
Tb: 0.5427 0.0858 0.7500
Tb: 0.6387 0.2765 0.0369
Tb: 0.3619 0.7248 0.9631
Tb: 0.3619 0.7246 0.5369
Tb: 0.6387 0.2764 0.4631
Tb: 0.1958 0.3915 0.1784
Tb: 0.8048 0.6097 0.8216
Tb: 0.8047 0.6095 0.6784
Tb: 0.1958 0.3915 0.3216
Tb: 0.9132 0.8256 0.1093
Tb: 0.0874 0.1757 0.8907
Tb: 0.0873 0.1755 0.6093
Tb: 0.9132 0.8256 0.3907
Ni: 0.8034 0.6063 0.2500
Ni: 0.1971 0.3947 0.7500
S: 0.0003 0.0006 0.0000
S: 0.7238 0.4487 0.9291
S: 0.2768 0.5525 0.0709
S: 0.5524 0.1037 0.3571
S: 0.4481 0.8973 0.6429
S: 0.0003 0.0005 0.5000
S: 0.2768 0.5525 0.4291
S: 0.7237 0.4486 0.5709
S: 0.4482 0.8975 0.8571
S: 0.5524 0.1037 0.1429

## Properties
For the calculated volume, the calculation gives 22.60 Å³ per atom. The formation energy from raw total energies comes out at -1.609 eV per atom.

Going through the records in order, we get DFT total energy values of -3.87, -6.13 eV per atom.
Going through the records in order, we get spin magnetization values of 0.00, 0.00 μB/f.u..